This record from the Alexandria database describes a relaxed MoPb crystal. The functional is PBE.

abc: 6.255 4.845 5.447
angles: 90.00 90.00 90.00
Positions (direct):
1 Mo 0.182 0.250 0.176
2 Mo 0.318 0.750 0.676
3 Mo 0.682 0.250 0.324
4 Mo 0.818 0.750 0.824
5 Pb 0.055 0.250 0.686
6 Pb 0.445 0.750 0.186
7 Pb 0.555 0.250 0.814
8 Pb 0.945 0.750 0.314

Calculated values
energy of formation from the pure elements	0.984	eV/atom
total magnetization	0.00	μB/atom
space group	Pnma, No. 62

This record from the Alexandria database describes a relaxed Ho4Al12Fe crystal. The functional is PBE.

abc: 7.429 7.429 7.429
angles: 109.47 109.47 109.47
Positions (direct):
1 Ho 0.000 0.000 0.500
2 Ho 0.000 0.500 0.000
3 Ho 0.500 0.000 0.000
4 Ho 0.500 0.500 0.500
5 Al 0.000 0.279 0.279
6 Al 0.000 0.721 0.721
7 Al 0.250 0.500 0.750
8 Al 0.250 0.750 0.500
9 Al 0.279 0.000 0.279
10 Al 0.279 0.279 0.000
11 Al 0.500 0.250 0.750
12 Al 0.500 0.750 0.250
13 Al 0.721 0.000 0.721
14 Al 0.721 0.721 0.000
15 Al 0.750 0.250 0.500
16 Al 0.750 0.500 0.250
17 Fe 0.000 0.000 0.000

Calculated values
energy of formation from the pure elements	-0.438	eV/atom
total magnetization	0.08	μB/atom
space group	Im-3m, No. 229

This record from the Alexandria database describes a relaxed Ce3Pb crystal. The functional is PBE.

abc: 6.502 6.502 6.502
angles: 149.33 62.81 126.65
Positions (direct):
1 Ce 0.000 0.000 0.000
2 Ce 0.496 0.724 0.772
3 Ce 0.952 0.724 0.228
4 Pb 0.490 0.990 0.500

Calculated values
energy of formation from the pure elements	-0.208	eV/atom
total magnetization	0.30	μB/atom
space group	Imm2, No. 44